Material: CaTl2CoF6
Method: DFT, GGA+U
State: optimized geometry

Cell lengths 6.0908, 6.0969, 8.8184 Å; angles 90.00, 90.00, 90.00 degrees
Last column: magnetic moment on the atom in μB.
Sites, in units of the cell vectors:
Ca 0.0000 0.7498 0.5000  0.01
Ca 0.5000 0.2502 0.0000  0.01
Tl 0.5000 0.7501 0.2499  0.00
Tl 0.0000 0.2499 0.7499  0.00
Tl 0.5000 0.7501 0.7501  0.00
Tl 0.0000 0.2499 0.2501  0.00
Co 0.5000 0.2499 0.5000  2.78
Co 0.0000 0.7501 0.0000  2.78
F 0.5000 0.2500 0.2564  0.02
F 0.5000 0.2500 0.7436  0.02
F 0.0000 0.7500 0.2436  0.02
F 0.0000 0.7500 0.7564  0.02
F 0.2634 0.0130 0.5000  0.03
F 0.7366 0.0130 0.5000  0.03
F 0.2633 0.4867 0.5000  0.03
F 0.7367 0.4867 0.5000  0.03
F 0.7633 0.5133 0.0000  0.03
F 0.2367 0.5133 0.0000  0.03
F 0.2366 0.9870 0.0000  0.03
F 0.7634 0.9870 0.0000  0.03

Energy (eV per atom): -4.829
Total magnetization (μB/f.u.): 3.00
V (Å³/cell): 327.47
N(E_F) (states/eV/atom): 0.000
Space group: I4/mmm

***

Material: Ca2CoWF
Method: DFT, GGA+U
State: optimized geometry

Cell lengths 4.6831, 4.9025, 4.6831 Å; angles 90.00, 90.00, 90.00 degrees
Last column: magnetic moment on the atom in μB.
Sites, in units of the cell vectors:
Ca 0.0000 0.0000 0.5000  0.02
Ca 0.5000 0.0000 0.0000  -0.01
Co 0.0000 0.5000 0.0000  2.04
W 0.5000 0.5000 0.5000  3.24
F 0.0000 0.0000 0.0000  0.02

Energy (eV per atom): -3.904
Total magnetization (μB/f.u.): 6.23
V (Å³/cell): 107.52
N(E_F) (states/eV/atom): 0.524
Space group: P4/mmm

***

Material: CaZnCo2F8
Method: DFT, GGA+U
State: optimized geometry

Cell lengths 4.8906, 4.8831, 6.5912 Å; angles 89.99, 89.99, 89.15 degrees
Last column: magnetic moment on the atom in μB.
Sites, in units of the cell vectors:
Ca 0.0000 0.0000 0.5000  0.00
Zn 0.0000 0.0000 0.0000  0.01
Co 0.5000 0.5000 0.7581  2.79
Co 0.5000 0.5000 0.2419  2.79
F 0.2021 0.7955 0.2311  0.03
F 0.6944 0.6967 0.9999  0.05
F 0.7981 0.2047 0.2311  0.03
F 0.7979 0.2045 0.7689  0.03
F 0.3056 0.3033 0.0001  0.05
F 0.2019 0.7953 0.7689  0.03
F 0.6775 0.6803 0.5000  0.05
F 0.3225 0.3197 0.5000  0.05

Energy (eV per atom): -4.980
Total magnetization (μB/f.u.): 6.00
V (Å³/cell): 157.39
N(E_F) (states/eV/atom): 0.000
Space group: P2/m

***

Material: CaZnCoF6
Method: DFT, GGA+U
State: optimized geometry

Cell lengths 5.3592, 5.3592, 9.8107 Å; angles 90.00, 90.00, 120.00 degrees
Last column: magnetic moment on the atom in μB.
Sites, in units of the cell vectors:
Ca 0.0000 0.0000 0.0000  0.00
Ca 0.0000 0.0000 0.5000  0.00
Zn 0.3333 0.6667 0.2500  0.00
Zn 0.6667 0.3333 0.7500  0.00
Co 0.6667 0.3333 0.2500  2.79
Co 0.3333 0.6667 0.7500  2.79
F 0.6511 0.6504 0.1374  0.03
F 0.9993 0.3489 0.1374  0.03
F 0.3489 0.9993 0.6374  0.03
F 0.0007 0.6511 0.8626  0.03
F 0.3496 0.3489 0.3626  0.03
F 0.9993 0.6504 0.3626  0.03
F 0.6504 0.9993 0.8626  0.03
F 0.6511 0.0007 0.3626  0.03
F 0.0007 0.3496 0.6374  0.03
F 0.3496 0.0007 0.1374  0.03
F 0.6504 0.6511 0.6374  0.03
F 0.3489 0.3496 0.8626  0.03

Energy (eV per atom): -4.972
Total magnetization (μB/f.u.): 3.00
V (Å³/cell): 244.02
N(E_F) (states/eV/atom): 0.000
Space group: P-31c